Here is a relaxed CaLuAlCd crystal from the Alexandria database. Energies are from PBE-GGA.

Cell and atoms, written as CIF:
```
data_CaLuAlCd
_chemical_formula_sum 'Ca4 Lu4 Al4 Cd4'
_cell_length_a 7.3598
_cell_length_b 7.3598
_cell_length_c 7.3598
_cell_angle_alpha 90.00
_cell_angle_beta 90.00
_cell_angle_gamma 90.00
_space_group_name_H-M_alt 'F -4 3 m'
_space_group_IT_number 216
_space_group_name_Hall 'F -4 2 3'
loop_
_atom_site_label
_atom_site_fract_x
_atom_site_fract_y
_atom_site_fract_z
_atom_site_occupancy
Ca1 0.0000 0.0000 0.0000 1
Lu1 0.0000 0.0000 0.5000 1
Al1 0.2500 0.2500 0.7500 1
Cd1 0.2500 0.2500 0.2500 1
```

## Properties
As for the density of states at the Fermi level: 8.65 states/eV per cell. The value obtained for the energy of formation is -0.288 eV/atom.

=====

Here is a relaxed MnZn2Os crystal from the Alexandria database. Energies are from PBE-GGA.

Cell and atoms, written as CIF:
```
data_MnZn2Os
_chemical_formula_sum 'Mn4 Zn8 Os4'
_cell_length_a 5.9796
_cell_length_b 5.9796
_cell_length_c 5.9796
_cell_angle_alpha 90.00
_cell_angle_beta 90.00
_cell_angle_gamma 90.00
_space_group_name_H-M_alt 'F -4 3 m'
_space_group_IT_number 216
_space_group_name_Hall 'F -4 2 3'
loop_
_atom_site_label
_atom_site_fract_x
_atom_site_fract_y
_atom_site_fract_z
_atom_site_occupancy
Mn1 0.0000 0.0000 0.0000 1
Zn1 0.0000 0.0000 0.5000 1
Zn2 0.2500 0.2500 0.7500 1
Os1 0.2500 0.2500 0.2500 1
```

## Properties
As for the density of states at the Fermi level: 15.73 states/eV per cell. The calculation puts the energy above the most stable polymorph in this dataset at 169.1 meV/atom. The value obtained for the energy of formation is 0.202 eV/atom.

=====

Here is a relaxed CaHoAu4 crystal from the Alexandria database. Energies are from PBE-GGA.

Cell and atoms, written as CIF:
```
data_CaHoAu4
_chemical_formula_sum 'Ca1 Ho1 Au4'
_cell_length_a 3.9693
_cell_length_b 3.9868
_cell_length_c 9.2359
_cell_angle_alpha 90.00
_cell_angle_beta 90.00
_cell_angle_gamma 90.00
_space_group_name_H-M_alt 'P m m m'
_space_group_IT_number 47
loop_
_space_group_symop_operation_xyz
'x,y,z'
'-x,-y,-z'
'-x,-y,z'
'x,y,-z'
'x,-y,-z'
'-x,y,z'
'-x,y,-z'
'x,-y,z'
loop_
_atom_site_label
_atom_site_fract_x
_atom_site_fract_y
_atom_site_fract_z
_atom_site_occupancy
Ca1 0.0000 0.0000 0.0000 1
Ho1 0.5000 0.5000 0.5000 1
Au1 0.0000 0.5000 0.2579 1
Au2 0.5000 0.0000 0.2598 1
```

## Properties
As for the density of states at the Fermi level: 2.06 states/eV per cell. The calculation puts the energy above the most stable polymorph in this dataset at 33.4 meV/atom. The value obtained for the energy of formation is -0.537 eV/atom.

=====

Here is a relaxed ReAgP2O crystal from the Alexandria database. Energies are from PBE-GGA.

Cell and atoms, written as CIF:
```
data_ReAgP2O
_chemical_formula_sum 'Re1 Ag1 P2 O1'
_cell_length_a 4.7581
_cell_length_b 4.7581
_cell_length_c 3.8595
_cell_angle_alpha 90.00
_cell_angle_beta 90.00
_cell_angle_gamma 90.00
_space_group_name_H-M_alt 'P 4/m m m'
_space_group_IT_number 123
_space_group_name_Hall '-P 4 2'
loop_
_atom_site_label
_atom_site_fract_x
_atom_site_fract_y
_atom_site_fract_z
_atom_site_occupancy
Re1 0.0000 0.0000 0.0000 1
Ag1 0.5000 0.5000 0.5000 1
P1 0.0000 0.5000 0.5000 1
O1 0.5000 0.5000 0.0000 1
```

## Properties
As for the density of states at the Fermi level: 2.90 states/eV per cell. The calculation puts the energy above the most stable polymorph in this dataset at 1493.6 meV/atom. The value obtained for the energy relative to the elements, uncorrected is 1.48 eV/atom.

=====

Here is a relaxed NpCuPt crystal from the Alexandria database. Energies are from PBE-GGA.

Cell and atoms, written as CIF:
```
data_NpCuPt
_chemical_formula_sum 'Np2 Cu2 Pt2'
_cell_length_a 4.6596
_cell_length_b 4.7328
_cell_length_c 5.4077
_cell_angle_alpha 64.36
_cell_angle_beta 81.29
_cell_angle_gamma 81.10
_space_group_name_H-M_alt 'P -1'
_space_group_IT_number 2
loop_
_space_group_symop_operation_xyz
'x,y,z'
'-x,-y,-z'
loop_
_atom_site_label
_atom_site_fract_x
_atom_site_fract_y
_atom_site_fract_z
_atom_site_occupancy
Np1 0.2399 0.1527 0.3604 1
Cu1 0.2115 0.8205 0.9939 1
Pt1 0.3036 0.4271 0.7470 1
```

## Properties
As for the density of states at the Fermi level: 10.64 states/eV per cell. The calculation puts the energy above the most stable polymorph in this dataset at 2.4 meV/atom. The value obtained for the energy of formation is -0.258 eV/atom.

=====

Here is a relaxed CeThOs crystal from the Alexandria database. Energies are from PBE-GGA.

Cell and atoms, written as CIF:
```
data_CeThOs
_chemical_formula_sum 'Ce4 Th4 Os4'
_cell_length_a 7.2092
_cell_length_b 7.1468
_cell_length_c 7.1171
_cell_angle_alpha 90.00
_cell_angle_beta 114.79
_cell_angle_gamma 90.00
_space_group_name_H-M_alt 'P 1 21/c 1'
_space_group_IT_number 14
loop_
_space_group_symop_operation_xyz
'x,y,z'
'-x,-y,-z'
'-x,y+1/2,-z+1/2'
'x,-y+1/2,z+1/2'
loop_
_atom_site_label
_atom_site_fract_x
_atom_site_fract_y
_atom_site_fract_z
_atom_site_occupancy
Ce1 0.1859 0.1843 0.0645 1
Th1 0.3093 0.6625 0.9983 1
Os1 0.0747 0.5525 0.2271 1
```

## Properties
As for the density of states at the Fermi level: 19.82 states/eV per cell. The calculation puts the energy above the most stable polymorph in this dataset at 166.6 meV/atom. The value obtained for the energy of formation is -0.076 eV/atom.

=====

Here is a relaxed Sc2SbP crystal from the Alexandria database. Energies are from PBE-GGA.

Cell and atoms, written as CIF:
```
data_Sc2SbP
_chemical_formula_sum 'Sc2 Sb1 P1'
_cell_length_a 3.3083
_cell_length_b 3.3083
_cell_length_c 7.4620
_cell_angle_alpha 90.00
_cell_angle_beta 90.00
_cell_angle_gamma 90.00
_space_group_name_H-M_alt 'P 4/m m m'
_space_group_IT_number 123
_space_group_name_Hall '-P 4 2'
loop_
_atom_site_label
_atom_site_fract_x
_atom_site_fract_y
_atom_site_fract_z
_atom_site_occupancy
Sc1 0.0000 0.0000 0.2032 1
Sb1 0.5000 0.5000 0.5000 1
P1 0.5000 0.5000 0.0000 1
```

## Properties
As for the density of states at the Fermi level: 3.20 states/eV per cell. The value obtained for the energy relative to the elements, uncorrected is -0.83 eV/atom.

=====

Here is a relaxed Cd2MoW crystal from the Alexandria database. Energies are from PBE-GGA.

Cell and atoms, written as CIF:
```
data_Cd2MoW
_chemical_formula_sum 'Cd8 Mo4 W4'
_cell_length_a 7.6000
_cell_length_b 7.6000
_cell_length_c 5.4153
_cell_angle_alpha 90.00
_cell_angle_beta 90.00
_cell_angle_gamma 90.00
_space_group_name_H-M_alt 'I -4 2 d'
_space_group_IT_number 122
_space_group_name_Hall 'I -4 2bw'
loop_
_atom_site_label
_atom_site_fract_x
_atom_site_fract_y
_atom_site_fract_z
_atom_site_occupancy
Cd1 0.2499 0.2500 0.1250 1
Mo1 0.0000 0.0000 0.0000 1
W1 0.0000 0.0000 0.5000 1
```

## Properties
As for the density of states at the Fermi level: 9.39 states/eV per cell. The calculation puts the energy above the most stable polymorph in this dataset at 985.8 meV/atom. The value obtained for the energy of formation is 1.277 eV/atom.

=====

Here is a relaxed TiTlI4 crystal from the Alexandria database. Energies are from PBE-GGA.

Cell and atoms, written as CIF:
```
data_TiTlI4
_chemical_formula_sum 'Ti4 Tl4 I16'
_cell_length_a 9.9287
_cell_length_b 14.6014
_cell_length_c 6.6770
_cell_angle_alpha 90.00
_cell_angle_beta 114.99
_cell_angle_gamma 90.00
_space_group_name_H-M_alt 'C 1 2/c 1'
_space_group_IT_number 15
loop_
_space_group_symop_operation_xyz
'x,y,z'
'-x,-y,-z'
'-x,y,-z+1/2'
'x,-y,z+1/2'
'x+1/2,y+1/2,z'
'-x+1/2,-y+1/2,-z'
'-x+1/2,y+1/2,-z+1/2'
'x+1/2,-y+1/2,z+1/2'
loop_
_atom_site_label
_atom_site_fract_x
_atom_site_fract_y
_atom_site_fract_z
_atom_site_occupancy
Ti1 0.0000 0.0014 0.2500 1
Tl1 0.0000 0.3839 0.2500 1
I1 0.0993 0.1467 0.5642 1
I2 0.2228 0.4270 0.8223 1
```

## Properties
As for the density of states at the Fermi level: 5.03 states/eV per cell. The calculation puts the energy above the most stable polymorph in this dataset at 76.5 meV/atom. The value obtained for the energy relative to the elements, uncorrected is -0.56 eV/atom.

=====

Here is a relaxed Ac2HgSe crystal from the Alexandria database. Energies are from PBE-GGA.

Cell and atoms, written as CIF:
```
data_Ac2HgSe
_chemical_formula_sum 'Ac2 Hg1 Se1'
_cell_length_a 3.8090
_cell_length_b 3.8090
_cell_length_c 8.5301
_cell_angle_alpha 90.00
_cell_angle_beta 90.00
_cell_angle_gamma 90.00
_space_group_name_H-M_alt 'P 4/m m m'
_space_group_IT_number 123
_space_group_name_Hall '-P 4 2'
loop_
_atom_site_label
_atom_site_fract_x
_atom_site_fract_y
_atom_site_fract_z
_atom_site_occupancy
Ac1 0.0000 0.0000 0.2379 1
Hg1 0.5000 0.5000 0.5000 1
Se1 0.5000 0.5000 0.0000 1
```

## Properties
As for the density of states at the Fermi level: 4.21 states/eV per cell. The calculation puts the energy above the most stable polymorph in this dataset at 134.0 meV/atom. The value obtained for the energy relative to the elements, uncorrected is -0.97 eV/atom.

=====

Here is a relaxed YPu2Te4 crystal from the Alexandria database. Energies are from PBE-GGA.

Cell and atoms, written as CIF:
```
data_YPu2Te4
_chemical_formula_sum 'Y4 Pu8 Te16'
_cell_length_a 4.2807
_cell_length_b 14.4484
_cell_length_c 15.1478
_cell_angle_alpha 90.00
_cell_angle_beta 90.00
_cell_angle_gamma 90.00
_space_group_name_H-M_alt 'C m c m'
_space_group_IT_number 63
_space_group_name_Hall '-C 2c 2'
loop_
_atom_site_label
_atom_site_fract_x
_atom_site_fract_y
_atom_site_fract_z
_atom_site_occupancy
Y1 0.0000 0.1208 0.2500 1
Pu1 0.0000 0.3650 0.0681 1
Te1 0.0000 0.0000 0.0000 1
Te2 0.0000 0.2805 0.6257 1
Te3 0.0000 0.4668 0.2500 1
```

## Properties
As for the density of states at the Fermi level: 99.13 states/eV per cell. The calculation puts the energy above the most stable polymorph in this dataset at 10.8 meV/atom. The value obtained for the energy relative to the elements, uncorrected is -1.13 eV/atom.

=====

Here is a relaxed K5ICl4 crystal from the Alexandria database. Energies are from PBE-GGA.

Cell and atoms, written as CIF:
```
data_K5ICl4
_chemical_formula_sum 'K15 I3 Cl12'
_cell_length_a 4.6137
_cell_length_b 4.6137
_cell_length_c 56.8097
_cell_angle_alpha 90.00
_cell_angle_beta 90.00
_cell_angle_gamma 120.00
_space_group_name_H-M_alt 'R -3 m'
_space_group_IT_number 166
_space_group_name_Hall '-R 3 2"'
loop_
_atom_site_label
_atom_site_fract_x
_atom_site_fract_y
_atom_site_fract_z
_atom_site_occupancy
K1 0.0000 0.0000 0.0000 1
K2 0.0000 0.0000 0.2065 1
K3 0.0000 0.0000 0.3967 1
I1 0.0000 0.0000 0.5000 1
Cl1 0.0000 0.0000 0.0951 1
Cl2 0.0000 0.0000 0.3016 1
```

## Properties
As for the density of states at the Fermi level: 0.00 states/eV per cell. The calculation puts the energy above the most stable polymorph in this dataset at 0.0 meV/atom. The value obtained for the energy relative to the elements, uncorrected is -1.85 eV/atom.